No. 1
Material: Y2TaNi
Method: DFT, PBE-GGA
State: relaxed

a = 7.853 Å, b = 7.853 Å, c = 5.855 Å
α = 90.00°, β = 90.00°, γ = 90.00°
Space group I-42d (No. 122)
Inequivalent atoms, fractional coordinates:
Y: 0.199 0.250 0.125 x8
Ta: 0.000 0.000 0.500 x4
Ni: 0.000 0.000 0.000 x4

relative energy among the computed polymorphs	486.6	meV per atom

---

No. 2
Material: Y2TaNi
Method: DFT, PBE-GGA
State: relaxed

a = 7.090 Å, b = 7.090 Å, c = 7.090 Å
α = 90.00°, β = 90.00°, γ = 90.00°
Space group Fm-3m (No. 225)
Inequivalent atoms, fractional coordinates:
Y: 0.250 0.250 0.250 x8
Ta: 0.000 0.000 0.000 x4
Ni: 0.000 0.000 0.500 x4

relative energy among the computed polymorphs	364.6	meV per atom

---

No. 3
Material: YTaNi
Method: DFT, PBE-GGA
State: relaxed

a = 6.327 Å, b = 6.327 Å, c = 6.327 Å
α = 90.00°, β = 90.00°, γ = 90.00°
Space group F-43m (No. 216)
Inequivalent atoms, fractional coordinates:
Y: 0.000 0.000 0.000 x4
Ta: 0.000 0.000 0.500 x4
Ni: 0.250 0.250 0.750 x4

relative energy among the computed polymorphs	438.6	meV per atom

---

No. 4
Material: YTaNi2
Method: DFT, PBE-GGA
State: relaxed

a = 4.679 Å, b = 4.679 Å, c = 3.018 Å
α = 90.00°, β = 90.00°, γ = 90.00°
Space group P4/mmm (No. 123)
Inequivalent atoms, fractional coordinates:
Y: 0.000 0.000 0.000 x1
Ta: 0.500 0.500 0.000 x1
Ni: 0.000 0.500 0.500 x2

---

Number 1: size of the total moment 0.000 μB/f.u., energy of formation from the pure elements 0.49 eV/atom, electronic total energy -0.2629 hartree per atom. Number 2: size of the total moment 2.757 μB/f.u., energy of formation from the pure elements 0.37 eV/atom, electronic total energy -0.2674 hartree per atom. Number 3: size of the total moment 1.001 μB/f.u., energy of formation from the pure elements 0.40 eV/atom, electronic total energy -0.2804 hartree per atom. Number 4: size of the total moment 0.000 μB/f.u., energy of formation from the pure elements -0.08 eV/atom, electronic total energy -0.2775 hartree per atom.